1.
# Zr2AgC, optimized geometry, DFT PBE
# Formation energy from the elements = -0.43 eV per atom
# Calculated total energy = -30.90 eV per formula unit
# Symmetry = R-3m (166)
data_Zr2AgC
_symmetry_space_group_name_H-M 'P 1'
_symmetry_Int_Tables_number 1
_cell_length_a 7.614
_cell_length_b 7.614
_cell_length_c 7.614
_cell_angle_alpha 25.25
_cell_angle_beta 25.25
_cell_angle_gamma 25.25
loop_
_symmetry_equiv_pos_as_xyz
'x,y,z'
loop_
_atom_site_label
_atom_site_fract_x
_atom_site_fract_y
_atom_site_fract_z
Zr1 0.225 0.225 0.225
Zr2 0.775 0.775 0.775
Ag1 0.000 0.000 0.000
C1 0.500 0.500 0.500

***

2.
# CdCuPO2, optimized geometry, DFT PBE
# Calculated total energy = -19.55 eV per formula unit
# ΔE_f (raw) = 0.16 eV per atom
# Symmetry = P4/mmm (123)
data_CdCuPO2
_symmetry_space_group_name_H-M 'P 1'
_symmetry_Int_Tables_number 1
_cell_length_a 3.794
_cell_length_b 3.794
_cell_length_c 4.861
_cell_angle_alpha 90.00
_cell_angle_beta 90.00
_cell_angle_gamma 90.00
loop_
_symmetry_equiv_pos_as_xyz
'x,y,z'
loop_
_atom_site_label
_atom_site_fract_x
_atom_site_fract_y
_atom_site_fract_z
Cd1 0.000 0.000 0.000
Cu1 0.500 0.500 0.500
P1 0.500 0.500 0.000
O1 0.000 0.500 0.500
O2 0.500 0.000 0.500

***

3.
# Ac5Sn2Au2, optimized geometry, DFT PBE
# Formation energy from the elements = -0.58 eV per atom
# Calculated total energy = -40.33 eV per formula unit
# Symmetry = Ima2 (46)
data_Ac5Sn2Au2
_symmetry_space_group_name_H-M 'P 1'
_symmetry_Int_Tables_number 1
_cell_length_a 11.053
_cell_length_b 11.053
_cell_length_c 11.053
_cell_angle_alpha 66.43
_cell_angle_beta 127.23
_cell_angle_gamma 142.65
loop_
_symmetry_equiv_pos_as_xyz
'x,y,z'
loop_
_atom_site_label
_atom_site_fract_x
_atom_site_fract_y
_atom_site_fract_z
Ac1 0.212 0.062 0.274
Ac2 0.212 0.438 0.649
Ac3 0.238 0.048 0.690
Ac4 0.358 0.548 0.310
Ac5 0.656 0.137 0.227
Ac6 0.656 0.929 0.019
Ac7 0.788 0.562 0.351
Ac8 0.788 0.938 0.726
Ac9 0.910 0.429 0.773
Ac10 0.910 0.637 0.981
Sn1 0.243 0.380 0.015
Sn2 0.243 0.728 0.363
Sn3 0.365 0.228 0.985
Sn4 0.365 0.880 0.637
Au1 0.679 0.179 0.500
Au2 0.679 0.679 0.000
Au3 0.703 0.581 0.622
Au4 0.959 0.081 0.378

***

4.
# LaBiOF2, optimized geometry, DFT PBE
# Calculated total energy = -29.09 eV per formula unit
# ΔE_f (raw) = -2.32 eV per atom
# Symmetry = P4/mmm (123)
data_LaBiOF2
_symmetry_space_group_name_H-M 'P 1'
_symmetry_Int_Tables_number 1
_cell_length_a 4.663
_cell_length_b 4.663
_cell_length_c 4.806
_cell_angle_alpha 90.00
_cell_angle_beta 90.00
_cell_angle_gamma 90.00
loop_
_symmetry_equiv_pos_as_xyz
'x,y,z'
loop_
_atom_site_label
_atom_site_fract_x
_atom_site_fract_y
_atom_site_fract_z
La1 0.000 0.000 0.000
Bi1 0.500 0.500 0.500
O1 0.000 0.000 0.500
F1 0.000 0.500 0.000
F2 0.500 0.000 0.000

***

5.
# Ac2Pm12Tm5, optimized geometry, DFT PBE
# Formation energy from the elements = 0.18 eV per atom
# Calculated total energy = -84.18 eV per formula unit
# Symmetry = C2/m (12)
data_Ac2Pm12Tm5
_symmetry_space_group_name_H-M 'P 1'
_symmetry_Int_Tables_number 1
_cell_length_a 6.870
_cell_length_b 6.870
_cell_length_c 16.130
_cell_angle_alpha 100.90
_cell_angle_beta 100.90
_cell_angle_gamma 63.69
loop_
_symmetry_equiv_pos_as_xyz
'x,y,z'
loop_
_atom_site_label
_atom_site_fract_x
_atom_site_fract_y
_atom_site_fract_z
Ac1 0.248 0.752 0.000
Ac2 0.752 0.248 0.000
Pm1 0.045 0.542 0.140
Pm2 0.075 0.075 0.220
Pm3 0.141 0.576 0.587
Pm4 0.424 0.859 0.413
Pm5 0.438 0.438 0.787
Pm6 0.458 0.955 0.860
Pm7 0.542 0.045 0.140
Pm8 0.562 0.562 0.213
Pm9 0.576 0.141 0.587
Pm10 0.859 0.424 0.413
Pm11 0.925 0.925 0.780
Pm12 0.955 0.458 0.860
Tm1 0.000 0.000 0.500
Tm2 0.152 0.152 0.680
Tm3 0.365 0.365 0.362
Tm4 0.635 0.635 0.638
Tm5 0.848 0.848 0.320

***

6.
# Ce2ErFe, optimized geometry, DFT PBE
# Formation energy from the elements = 0.13 eV per atom
# Calculated total energy = -24.38 eV per formula unit
# Symmetry = P4/mmm (123)
data_Ce2ErFe
_symmetry_space_group_name_H-M 'P 1'
_symmetry_Int_Tables_number 1
_cell_length_a 3.408
_cell_length_b 3.408
_cell_length_c 8.471
_cell_angle_alpha 90.00
_cell_angle_beta 90.00
_cell_angle_gamma 90.00
loop_
_symmetry_equiv_pos_as_xyz
'x,y,z'
loop_
_atom_site_label
_atom_site_fract_x
_atom_site_fract_y
_atom_site_fract_z
Ce1 0.000 0.000 0.193
Ce2 0.000 0.000 0.807
Er1 0.500 0.500 0.500
Fe1 0.500 0.500 0.000

***

7.
# PmPaRe4, optimized geometry, DFT PBE
# Formation energy from the elements = -0.02 eV per atom
# Calculated total energy = -64.13 eV per formula unit
# Symmetry = F-43m (216)
data_PmPaRe4
_symmetry_space_group_name_H-M 'P 1'
_symmetry_Int_Tables_number 1
_cell_length_a 5.462
_cell_length_b 5.462
_cell_length_c 5.462
_cell_angle_alpha 60.00
_cell_angle_beta 60.00
_cell_angle_gamma 60.00
loop_
_symmetry_equiv_pos_as_xyz
'x,y,z'
loop_
_atom_site_label
_atom_site_fract_x
_atom_site_fract_y
_atom_site_fract_z
Pm1 0.000 0.000 0.000
Pa1 0.750 0.750 0.750
Re1 0.375 0.375 0.375
Re2 0.375 0.375 0.875
Re3 0.375 0.875 0.375
Re4 0.875 0.375 0.375

***

8.
# Ho4Ru2I5, optimized geometry, DFT PBE
# Calculated total energy = -52.48 eV per formula unit
# ΔE_f (raw) = -0.72 eV per atom
# Symmetry = C2/m (12)
data_Ho4Ru2I5
_symmetry_space_group_name_H-M 'P 1'
_symmetry_Int_Tables_number 1
_cell_length_a 11.636
_cell_length_b 11.636
_cell_length_c 8.448
_cell_angle_alpha 93.63
_cell_angle_beta 93.63
_cell_angle_gamma 19.91
loop_
_symmetry_equiv_pos_as_xyz
'x,y,z'
loop_
_atom_site_label
_atom_site_fract_x
_atom_site_fract_y
_atom_site_fract_z
Ho1 0.033 0.033 0.200
Ho2 0.340 0.340 0.920
Ho3 0.660 0.660 0.080
Ho4 0.967 0.967 0.800
Ru1 0.445 0.445 0.012
Ru2 0.555 0.555 0.988
I1 0.162 0.162 0.356
I2 0.196 0.196 0.830
I3 0.500 0.500 0.500
I4 0.804 0.804 0.170
I5 0.838 0.838 0.644

***

- Which formula does entry 4 have?
  LaBiOF2